# Cs3Ho3PuS8 (GGA-PBE, optimized geometry)
# * calculated volume: 30.9 Å³/atom
# * ΔE_f (raw): -1.77 eV/atom
# * D(E_F): 11.43 states/eV/f.u.
# * DFT total energy: -270.37 eV per cell
data_Cs3Ho3PuS8
_chemical_formula_sum 'Cs9 Ho9 Pu3 S24'
_symmetry_space_group_name_H-M 'R -3 m'
_symmetry_Int_Tables_number 166
_symmetry_space_group_name_Hall '-R 3 2"'
_cell_length_a 8.0837
_cell_length_b 8.0837
_cell_length_c 24.5842
_cell_angle_alpha 90.00
_cell_angle_beta 90.00
_cell_angle_gamma 120.00
loop_
_atom_site_label
_atom_site_fract_x
_atom_site_fract_y
_atom_site_fract_z
Cs1 0.0000 0.5000 0.0000
Ho1 0.0000 0.5000 0.5000
Pu1 0.0000 0.0000 0.5000
S1 0.0000 0.0000 0.2263
S2 0.0048 0.5024 0.2254

# Pm6Nd3Mg (GGA-PBE, optimized geometry)
# * calculated volume: 33.7 Å³/atom
# * D(E_F): 12.27 states/eV/f.u.
# * polymorph energy (0 for the lowest one): 0 meV/atom
# * calculated formation energy: 8 meV/atom
# * DFT total energy: -88.65 eV per cell
data_Pm6Nd3Mg
_chemical_formula_sum 'Pm12 Nd6 Mg2'
_symmetry_space_group_name_H-M 'P -1'
_symmetry_Int_Tables_number 2
_cell_length_a 3.671
_cell_length_b 6.233
_cell_length_c 29.484
_cell_angle_alpha 86.42
_cell_angle_beta 89.98
_cell_angle_gamma 89.96
loop_
_symmetry_equiv_pos_as_xyz
'x,y,z'
'-x,-y,-z'
loop_
_atom_site_label
_atom_site_fract_x
_atom_site_fract_y
_atom_site_fract_z
Pm1 0.000 0.101 0.101
Pm2 0.000 0.330 0.600
Pm3 0.001 0.368 0.303
Pm4 0.002 0.261 0.802
Pm5 0.499 0.606 0.096
Pm6 0.500 0.172 0.405
Nd1 0.499 0.240 0.200
Nd2 0.500 0.000 0.000
Nd3 0.500 0.130 0.699
Nd4 0.500 0.500 0.500
Mg1 0.000 0.000 0.500
Mg2 0.000 0.500 0.000

# ThNbFe4 (GGA-PBE, optimized geometry)
# * calculated volume: 15.0 Å³/atom
# * D(E_F): 7.96 states/eV/f.u.
# * calculated formation energy: 41 meV/atom
# * DFT total energy: -204.37 eV per cell
data_ThNbFe4
_chemical_formula_sum 'Th4 Nb4 Fe16'
_symmetry_space_group_name_H-M 'F -4 3 m'
_symmetry_Int_Tables_number 216
_symmetry_space_group_name_Hall 'F -4 2 3'
_cell_length_a 7.119
_cell_length_b 7.119
_cell_length_c 7.119
_cell_angle_alpha 90.00
_cell_angle_beta 90.00
_cell_angle_gamma 90.00
loop_
_atom_site_label
_atom_site_fract_x
_atom_site_fract_y
_atom_site_fract_z
Th1 0.000 0.000 0.000
Nb1 0.250 0.250 0.250
Fe1 0.124 0.124 0.624